(1)
Compound: CaNiHW2
Source: Alexandria
Functional: PBE
Structure: optimized geometry

Results
**Total magnetization**: 0.0 μB/f.u.
**Calculated density**: 10.1 g/cm³
**D(E_F)**: 1.235 states/eV per atom
**Symmetry**: P4/mmm (123)
**Calculated volume**: 15.37 Å³/atom
**VASP energy**: -5.04 eV per atom

a b c (Å): 5.016 5.016 3.054
angles (deg): 90.00 90.00 90.00
Sites, in units of the cell vectors:
Ca  0.000  0.000  0.000
Ni  0.500  0.500  0.500
H  0.000  0.000  0.500
W  0.000  0.500  0.000
W  0.500  0.000  0.000

***

(2)
Compound: CaYNi2H8
Source: Alexandria
Functional: PBE
Structure: optimized geometry

Results
**Total magnetization**: 0.0 μB/f.u.
**Calculated density**: 3.9 g/cm³
**D(E_F)**: 0.385 states/eV per atom
**Symmetry**: R-3m (166)
**Calculated volume**: 9.05 Å³/atom
**VASP energy**: -4.15 eV per atom

a b c (Å): 6.574 6.574 6.574
angles (deg): 40.62 40.62 40.62
Sites, in units of the cell vectors:
Ca  0.000  0.000  0.000
Y  0.500  0.500  0.500
Ni  0.229  0.229  0.229
Ni  0.771  0.771  0.771
H  0.078  0.554  0.554
H  0.142  0.142  0.142
H  0.446  0.446  0.922
H  0.446  0.922  0.446
H  0.554  0.078  0.554
H  0.554  0.554  0.078
H  0.858  0.858  0.858
H  0.922  0.446  0.446

***

(3)
Compound: Ca2ZnNiH6
Source: Alexandria
Functional: PBE
Structure: optimized geometry

Results
**Total magnetization**: 0.0 μB/f.u.
**Calculated density**: 3.5 g/cm³
**D(E_F)**: 0.072 states/eV per atom
**Symmetry**: R-3m (166)
**Calculated volume**: 9.84 Å³/atom
**VASP energy**: -3.41 eV per atom

a b c (Å): 9.100 9.100 9.100
angles (deg): 32.82 32.82 32.82
Sites, in units of the cell vectors:
Ca  0.128  0.128  0.128
Ca  0.291  0.291  0.291
Ca  0.709  0.709  0.709
Ca  0.872  0.872  0.872
Zn  0.409  0.409  0.409
Zn  0.591  0.591  0.591
Ni  0.000  0.000  0.000
Ni  0.500  0.500  0.500
H  0.133  0.625  0.625
H  0.193  0.193  0.727
H  0.193  0.727  0.193
H  0.273  0.807  0.807
H  0.375  0.375  0.867
H  0.375  0.867  0.375
H  0.625  0.133  0.625
H  0.625  0.625  0.133
H  0.727  0.193  0.193
H  0.807  0.273  0.807
H  0.807  0.807  0.273
H  0.867  0.375  0.375

***

(4)
Compound: Ca2NpH6
Source: Alexandria
Functional: PBE
Structure: optimized geometry

Results
**Total magnetization**: 4.7 μB/f.u.
**Calculated density**: 4.3 g/cm³
**D(E_F)**: 0.753 states/eV per atom
**Symmetry**: Fm-3m (225)
**Calculated volume**: 13.87 Å³/atom
**VASP energy**: -3.96 eV per atom

a b c (Å): 5.609 5.609 5.609
angles (deg): 60.00 60.00 60.00
Sites, in units of the cell vectors:
Ca  0.250  0.250  0.250
Ca  0.750  0.750  0.750
Np  0.000  0.000  0.000
H  0.271  0.271  0.729
H  0.271  0.729  0.271
H  0.271  0.729  0.729
H  0.729  0.271  0.271
H  0.729  0.271  0.729
H  0.729  0.729  0.271

***

(5)
Compound: Ca2NpHO6
Source: Alexandria
Functional: PBE
Structure: optimized geometry

Results
**Total magnetization**: 0.0 μB/f.u.
**Calculated density**: 5.2 g/cm³
**Symmetry**: Pnnm (58)
**Calculated volume**: 13.25 Å³/atom
**VASP energy**: -7.45 eV per atom

a b c (Å): 4.486 5.841 10.110
angles (deg): 90.00 90.00 90.00
Sites, in units of the cell vectors:
Ca  0.000  0.000  0.178
Ca  0.000  0.000  0.822
Ca  0.500  0.500  0.322
Ca  0.500  0.500  0.678
Np  0.000  0.500  0.000
Np  0.500  0.000  0.500
H  0.000  0.500  0.500
H  0.500  0.000  0.000
O  0.219  0.353  0.141
O  0.219  0.353  0.859
O  0.225  0.353  0.500
O  0.275  0.853  0.000
O  0.281  0.853  0.359
O  0.281  0.853  0.641
O  0.719  0.147  0.359
O  0.719  0.147  0.641
O  0.725  0.147  0.000
O  0.775  0.647  0.500
O  0.781  0.647  0.141
O  0.781  0.647  0.859

***

(6)
Compound: CaHO3
Source: Alexandria
Functional: PBE
Structure: optimized geometry

Results
**Total magnetization**: 3.0 μB/f.u.
**Calculated density**: 1.6 g/cm³
**D(E_F)**: 0.855 states/eV per atom
**Symmetry**: Pm-3m (221)
**Calculated volume**: 17.97 Å³/atom
**VASP energy**: -3.76 eV per atom

a b c (Å): 4.479 4.479 4.479
angles (deg): 90.00 90.00 90.00
Sites, in units of the cell vectors:
Ca  0.000  0.000  0.000
H  0.500  0.500  0.500
O  0.000  0.000  0.500
O  0.000  0.500  0.000
O  0.500  0.000  0.000

***

(7)
Compound: Ca3HO
Source: Alexandria
Functional: PBE
Structure: optimized geometry

Results
**Total magnetization**: 0.0 μB/f.u.
**Calculated density**: 2.0 g/cm³
**D(E_F)**: 0.838 states/eV per atom
**Symmetry**: Pm-3m (221)
**Calculated volume**: 22.53 Å³/atom
**Distance to the lowest polymorph of the same formula**: 0.00 eV per formula unit

a b c (Å): 4.829 4.829 4.829
angles (deg): 90.00 90.00 90.00
Sites, in units of the cell vectors:
Ca  0.000  0.000  0.500
Ca  0.000  0.500  0.000
Ca  0.500  0.000  0.000
H  0.500  0.500  0.500
O  0.000  0.000  0.000

***

(8)
Compound: CaH3O3
Source: Alexandria
Functional: PBE
Structure: optimized geometry

Results
**Total magnetization**: 1.0 μB/f.u.
**Calculated density**: 1.9 g/cm³
**D(E_F)**: 0.586 states/eV per atom
**Symmetry**: R-3 (148)
**Calculated volume**: 11.65 Å³/atom
**VASP energy**: -5.21 eV per atom

a b c (Å): 5.884 5.884 5.884
angles (deg): 66.15 66.15 66.15
Sites, in units of the cell vectors:
Ca  0.171  0.171  0.171
Ca  0.829  0.829  0.829
H  0.084  0.677  0.304
H  0.304  0.084  0.677
H  0.323  0.696  0.916
H  0.677  0.304  0.084
H  0.696  0.916  0.323
H  0.916  0.323  0.696
O  0.001  0.807  0.403
O  0.193  0.597  0.999
O  0.403  0.001  0.807
O  0.597  0.999  0.193
O  0.807  0.403  0.001
O  0.999  0.193  0.597

***

(9)
Compound: CaH2O
Source: Alexandria
Functional: PBE
Structure: optimized geometry

Results
**Total magnetization**: 0.0 μB/f.u.
**Calculated density**: 2.7 g/cm³
**D(E_F)**: 0.387 states/eV per atom
**Symmetry**: Fm-3m (225)
**Calculated volume**: 8.82 Å³/atom
**Distance to the lowest polymorph of the same formula**: 1.20 eV per formula unit

a b c (Å): 5.206 5.206 5.206
angles (deg): 90.00 90.00 90.00
Sites, in units of the cell vectors:
Ca  0.000  0.000  0.000
Ca  0.000  0.500  0.500
Ca  0.500  0.000  0.500
Ca  0.500  0.500  0.000
H  0.250  0.250  0.250
H  0.250  0.250  0.750
H  0.250  0.750  0.250
H  0.250  0.750  0.750
H  0.750  0.250  0.250
H  0.750  0.250  0.750
H  0.750  0.750  0.250
H  0.750  0.750  0.750
O  0.000  0.000  0.500
O  0.000  0.500  0.000
O  0.500  0.000  0.000
O  0.500  0.500  0.500

***

(10)
Compound: CaH6O4
Source: Alexandria
Functional: PBE
Structure: optimized geometry

Results
**Total magnetization**: 0.0 μB/f.u.
**Calculated density**: 2.3 g/cm³
**D(E_F)**: 0.009 states/eV per atom
**Symmetry**: I-42m (121)
**Calculated volume**: 7.25 Å³/atom
**VASP energy**: -4.49 eV per atom

a b c (Å): 4.715 4.715 4.715
angles (deg): 113.11 113.11 102.42
Sites, in units of the cell vectors:
Ca  0.000  0.000  0.000
H  0.000  0.500  0.500
H  0.072  0.072  0.581
H  0.491  0.491  0.419
H  0.500  0.000  0.500
H  0.509  0.928  0.000
H  0.928  0.509  0.000
O  0.143  0.576  0.000
O  0.424  0.424  0.567
O  0.576  0.143  0.000
O  0.857  0.857  0.433

***

(11)
Compound: Ca12H3O5
Source: Alexandria
Functional: PBE
Structure: optimized geometry

Results
**Total magnetization**: 0.7 μB/f.u.
**Calculated density**: 2.1 g/cm³
**D(E_F)**: 0.642 states/eV per atom
**Symmetry**: Ia-3d (230)
**Calculated volume**: 22.63 Å³/atom
**VASP energy**: -4.15 eV per atom

a b c (Å): 13.298 13.298 13.298
angles (deg): 109.47 109.47 109.47
Sites, in units of the cell vectors:
Ca  0.017  0.199  0.122
Ca  0.017  0.318  0.895
Ca  0.077  0.699  0.682
Ca  0.077  0.878  0.395
Ca  0.105  0.622  0.423
Ca  0.105  0.983  0.682
Ca  0.122  0.017  0.199
Ca  0.122  0.605  0.923
Ca  0.182  0.199  0.577
Ca  0.182  0.483  0.605
Ca  0.199  0.122  0.017
Ca  0.199  0.577  0.182
Ca  0.301  0.318  0.923
Ca  0.301  0.483  0.378
Ca  0.318  0.895  0.017
Ca  0.318  0.923  0.301
Ca  0.378  0.301  0.483
Ca  0.378  0.577  0.895
Ca  0.395  0.077  0.878
Ca  0.395  0.818  0.517
Ca  0.423  0.105  0.622
Ca  0.423  0.818  0.801
Ca  0.483  0.378  0.301
Ca  0.483  0.605  0.182
Ca  0.517  0.395  0.818
Ca  0.517  0.622  0.699
Ca  0.577  0.182  0.199
Ca  0.577  0.895  0.378
Ca  0.605  0.182  0.483
Ca  0.605  0.923  0.122
Ca  0.622  0.423  0.105
Ca  0.622  0.699  0.517
Ca  0.682  0.077  0.699
Ca  0.682  0.105  0.983
Ca  0.699  0.517  0.622
Ca  0.699  0.682  0.077
Ca  0.801  0.423  0.818
Ca  0.801  0.878  0.983
Ca  0.818  0.517  0.395
Ca  0.818  0.801  0.423
Ca  0.878  0.395  0.077
Ca  0.878  0.983  0.801
Ca  0.895  0.017  0.318
Ca  0.895  0.378  0.577
Ca  0.923  0.122  0.605
Ca  0.923  0.301  0.318
Ca  0.983  0.682  0.105
Ca  0.983  0.801  0.878
H  0.125  0.250  0.375
H  0.125  0.375  0.750
H  0.250  0.375  0.125
H  0.250  0.875  0.625
H  0.375  0.125  0.250
H  0.375  0.750  0.125
H  0.625  0.250  0.875
H  0.625  0.875  0.750
H  0.750  0.125  0.375
H  0.750  0.625  0.875
H  0.875  0.625  0.250
H  0.875  0.750  0.625
O  0.000  0.000  0.000
O  0.000  0.000  0.500
O  0.000  0.500  0.000
O  0.000  0.500  0.500
O  0.125  0.750  0.875
O  0.125  0.875  0.250
O  0.250  0.125  0.875
O  0.250  0.625  0.375
O  0.375  0.250  0.625
O  0.375  0.625  0.750
O  0.500  0.000  0.000
O  0.500  0.000  0.500
O  0.500  0.500  0.000
O  0.500  0.500  0.500
O  0.625  0.375  0.250
O  0.625  0.750  0.375
O  0.750  0.375  0.625
O  0.750  0.875  0.125
O  0.875  0.125  0.750
O  0.875  0.250  0.125

***

(12)
Compound: Ca2H3O2
Source: Alexandria
Functional: PBE
Structure: optimized geometry

Results
**Total magnetization**: 1.0 μB/f.u.
**Calculated density**: 2.7 g/cm³
**D(E_F)**: 0.184 states/eV per atom
**Symmetry**: C2/m (12)
**Calculated volume**: 10.24 Å³/atom
**VASP energy**: -4.72 eV per atom

a b c (Å): 7.377 4.007 4.850
angles (deg): 90.00 90.80 90.00
Sites, in units of the cell vectors:
Ca  0.160  0.000  0.258
Ca  0.340  0.500  0.742
Ca  0.660  0.500  0.258
Ca  0.840  0.000  0.742
H  0.000  0.500  0.500
H  0.020  0.500  0.928
H  0.480  0.000  0.072
H  0.500  0.000  0.500
H  0.520  0.000  0.928
H  0.980  0.500  0.072
O  0.165  0.000  0.748
O  0.335  0.500  0.252
O  0.665  0.500  0.748
O  0.835  0.000  0.252

***

What is the calculated density in the second record? 3.9 g/cm³

***

Repeat the seventh record exactly.
Compound: Ca3HO
Source: Alexandria
Functional: PBE
Structure: optimized geometry

Results
**Total magnetization**: 0.0 μB/f.u.
**Calculated density**: 2.0 g/cm³
**D(E_F)**: 0.838 states/eV per atom
**Symmetry**: Pm-3m (221)
**Calculated volume**: 22.53 Å³/atom
**Distance to the lowest polymorph of the same formula**: 0.00 eV per formula unit

a b c (Å): 4.829 4.829 4.829
angles (deg): 90.00 90.00 90.00
Sites, in units of the cell vectors:
Ca  0.000  0.000  0.500
Ca  0.000  0.500  0.000
Ca  0.500  0.000  0.000
H  0.500  0.500  0.500
O  0.000  0.000  0.000